[1]
This record from Alexandria via LeMat-Bulk describes crystalline NiRhAu2 at its relaxed geometry. The functional is PBE.

Properties
**V**: 15.48 A^3/atom
**Fermi-level density of states**: 1.3481 states/eV per atom
**Energy of formation**: 0.19 eV per atom

```
4
Lattice="-2.004 2.004 3.856 2.004 -2.004 3.856 2.004 2.004 -3.856" Properties=species:S:1:pos:R:3 pbc="T T T"
Ni 0.000 0.000 0.000
Rh 0.000 0.000 3.856
Au 2.004 0.000 1.928
Au 0.000 2.004 1.928
```

=====

[2]
This record from Alexandria via LeMat-Bulk describes crystalline CeNdGdZr at its relaxed geometry. The functional is PBE.

Properties
**V**: 30.14 A^3/atom
**Fermi-level density of states**: 2.5086 states/eV per atom
**Energy of formation**: 0.25 eV per atom

```
4
Lattice="0.000 3.921 3.921 3.921 0.000 3.921 3.921 3.921 0.000" Properties=species:S:1:pos:R:3 pbc="T T T"
Ce 0.000 0.000 0.000
Nd 5.881 5.881 5.881
Gd 3.921 3.921 3.921
Zr 1.960 1.960 1.960
```

=====

[3]
This record from Alexandria via LeMat-Bulk describes crystalline Sr5AgHg2 at its relaxed geometry. The functional is PBE.

Properties
**V**: 37.54 A^3/atom
**Fermi-level density of states**: 0.7467 states/eV per atom
**Energy of formation**: -0.35 eV per atom

```
16
Lattice="-4.352 4.352 7.929 4.352 -4.352 7.929 4.352 4.352 -7.929" Properties=species:S:1:pos:R:3 pbc="T T T"
Sr 0.000 0.000 0.000
Sr 5.786 1.434 -2.316
Sr 1.434 2.918 -2.316
Sr 5.786 1.434 2.316
Sr 1.434 2.918 2.316
Sr 0.000 0.000 7.929
Sr 2.918 1.434 5.613
Sr -1.434 2.918 5.613
Sr 2.918 1.434 10.244
Sr -1.434 2.918 10.244
Ag 0.000 0.000 3.964
Ag 0.000 0.000 11.893
Hg 3.204 1.148 0.000
Hg 3.204 -1.148 7.929
Hg 1.148 5.500 0.000
Hg 1.148 3.204 7.929
```

=====

[4]
This record from Alexandria via LeMat-Bulk describes crystalline MgGe2Ir2 at its relaxed geometry. The functional is PBE.

Properties
**V**: 16.06 A^3/atom
**Fermi-level density of states**: 0.4348 states/eV per atom
**Energy of formation**: -0.20 eV per atom

```
10
Lattice="7.377 0.000 0.000 0.000 7.377 0.000 0.000 0.000 2.951" Properties=species:S:1:pos:R:3 pbc="T T T"
Mg 0.000 0.000 0.000
Mg 3.688 3.688 0.000
Ge 1.138 2.551 1.475
Ge 2.551 6.239 1.475
Ge 4.826 1.138 1.475
Ge 6.239 4.826 1.475
Ir 1.059 4.747 0.000
Ir 2.629 1.059 0.000
Ir 4.747 6.318 0.000
Ir 6.318 2.629 0.000
```

=====

[5]
This record from Alexandria via LeMat-Bulk describes crystalline NbRePt at its relaxed geometry. The functional is PBE.

Properties
**V**: 16.14 A^3/atom
**Fermi-level density of states**: 0.7020 states/eV per atom
**Energy of formation**: -0.21 eV per atom

```
3
Lattice="1.891 -2.009 0.000 1.891 2.009 0.000 -1.596 0.000 6.373" Properties=species:S:1:pos:R:3 pbc="T T T"
Nb 0.000 0.000 0.000
Re -0.050 0.000 4.169
Pt 1.882 0.000 2.164
```

=====

[6]
This record from Alexandria via LeMat-Bulk describes crystalline HfVZn at its relaxed geometry. The functional is PBE.

Properties
**V**: 16.95 A^3/atom
**Fermi-level density of states**: 0.8100 states/eV per atom
**Energy of formation**: 0.28 eV per atom

```
3
Lattice="4.641 0.000 0.000 -2.321 4.019 0.000 0.000 0.000 2.725" Properties=species:S:1:pos:R:3 pbc="T T T"
Hf 0.000 0.000 0.000
V 2.321 1.340 0.000
Zn 0.000 2.680 1.363
```